1.
The following is a PBE calculation of CsMgV after structural relaxation, from the Alexandria database.

a b c (Å): 5.4894 5.4894 3.1508
angles (deg): 90.00 90.00 120.00
Space group P-6m2 (No. 187)
One atom of each set of equivalent atoms:
Cs 0.0000 0.0000 0.0000 (multiplicity 1)
Mg 0.3333 0.6667 0.5000 (multiplicity 1)
V 0.6667 0.3333 0.5000 (multiplicity 1)

Calculated values
Offset from the most stable computed form ... 739 meV/atom
Crystal system ... hexagonal
Volume ... 27.41 Å³ per atom
D(E_F) ... 1.013 states/eV per atom
Energy relative to the elements ... 1.2344 eV per atom
Density ... 4.2 g/cm3

***

2.
The following is a PBE calculation of YPdRh4 after structural relaxation, from the Alexandria database.

a b c (Å): 7.391 7.391 7.391
angles (deg): 90.00 90.00 90.00
Space group F-43m (No. 216)
One atom of each set of equivalent atoms:
Y 0.000 0.000 0.000 (multiplicity 4)
Pd 0.250 0.250 0.750 (multiplicity 4)
Rh 0.125 0.125 0.375 (multiplicity 16)

Calculated values
Crystal system ... cubic
Volume ... 16.82 Å³ per atom
D(E_F) ... 2.038 states/eV per atom
Energy relative to the elements ... -0.2870 eV per atom
Density ... 10.0 g/cm3

***

3.
The following is a PBE calculation of MgVFeNi after structural relaxation, from the Alexandria database.

a b c (Å): 5.876 5.876 5.876
angles (deg): 90.00 90.00 90.00
Space group F-43m (No. 216)
One atom of each set of equivalent atoms:
Mg 0.000 0.000 0.000 (multiplicity 4)
V 0.000 0.000 0.500 (multiplicity 4)
Fe 0.250 0.250 0.250 (multiplicity 4)
Ni 0.250 0.250 0.750 (multiplicity 4)

Calculated values
Crystal system ... cubic
Volume ... 12.68 Å³ per atom
D(E_F) ... 0.961 states/eV per atom
Energy relative to the elements ... 0.0449 eV per atom
Density ... 6.2 g/cm3

***

4.
The following is a PBE calculation of Hg2Ir after structural relaxation, from the Alexandria database.

a b c (Å): 7.9330 7.9330 3.2129
angles (deg): 90.00 90.00 120.00
Space group P-62m (No. 189)
One atom of each set of equivalent atoms:
Hg 0.0000 0.2840 0.0000 (multiplicity 3)
Hg 0.0000 0.6061 0.5000 (multiplicity 3)
Ir 0.0000 0.0000 0.5000 (multiplicity 1)
Ir 0.3333 0.6667 0.0000 (multiplicity 2)

Calculated values
Crystal system ... hexagonal
Volume ... 19.46 Å³ per atom
D(E_F) ... 0.389 states/eV per atom
Energy relative to the elements ... 0.4876 eV per atom
Density ... 16.9 g/cm3

***

5.
The following is a PBE calculation of Ta2AsOs after structural relaxation, from the Alexandria database.

a b c (Å): 3.774 3.774 9.264
angles (deg): 90.00 90.00 90.00
Space group I-4m2 (No. 119)
One atom of each set of equivalent atoms:
Ta 0.000 0.000 0.000 (multiplicity 2)
Ta 0.000 0.500 0.250 (multiplicity 2)
As 0.000 0.500 0.750 (multiplicity 2)
Os 0.000 0.000 0.500 (multiplicity 2)

Calculated values
Crystal system ... tetragonal
Volume ... 16.49 Å³ per atom
D(E_F) ... 0.461 states/eV per atom
Energy relative to the elements ... -0.0417 eV per atom
Density ... 15.8 g/cm3

***

6.
The following is a PBE calculation of Tl2ICl6 after structural relaxation, from the Alexandria database.

a b c (Å): 12.459 7.400 7.412
angles (deg): 90.00 126.51 90.00
Space group C2/m (No. 12)
One atom of each set of equivalent atoms:
Tl 0.250 0.000 0.250 (multiplicity 4)
I 0.000 0.000 0.500 (multiplicity 2)
Cl 0.000 0.258 0.241 (multiplicity 8)
Cl 0.250 0.000 0.749 (multiplicity 4)

Calculated values
Offset from the most stable computed form ... 64 meV/atom
Crystal system ... monoclinic
Volume ... 30.51 Å³ per atom
D(E_F) ... 0.556 states/eV per atom
Density ... 4.5 g/cm3

***

7.
The following is a PBE calculation of ZnCu2SnSe3S after structural relaxation, from the Alexandria database.

a b c (Å): 8.020 8.065 6.954
angles (deg): 90.00 125.09 90.00
Space group Cm (No. 8)
One atom of each set of equivalent atoms:
Zn 0.000 0.000 0.000 (multiplicity 2)
Cu 0.018 0.264 0.522 (multiplicity 4)
Sn 0.015 0.500 0.007 (multiplicity 2)
Se 0.116 0.000 0.733 (multiplicity 2)
Se 0.146 0.240 0.279 (multiplicity 4)
S 0.136 0.500 0.745 (multiplicity 2)

Calculated values
Offset from the most stable computed form ... 3 meV/atom
Crystal system ... monoclinic
Volume ... 23.00 Å³ per atom
D(E_F) ... 0.078 states/eV per atom
Density ... 5.2 g/cm3

***

8.
The following is a PBE calculation of Tb2Th3Sc6 after structural relaxation, from the Alexandria database.

a b c (Å): 5.930 10.279 10.878
angles (deg): 90.00 100.57 90.00
Space group C2/m (No. 12)
One atom of each set of equivalent atoms:
Tb 0.000 0.166 0.000 (multiplicity 4)
Th 0.000 0.000 0.500 (multiplicity 2)
Th 0.000 0.333 0.500 (multiplicity 4)
Sc 0.246 0.500 0.747 (multiplicity 4)
Sc 0.249 0.335 0.253 (multiplicity 8)

Calculated values
Crystal system ... monoclinic
Volume ... 29.63 Å³ per atom
D(E_F) ... 1.295 states/eV per atom
Energy relative to the elements ... 0.2094 eV per atom
Density ... 6.5 g/cm3

***

9.
The following is a PBE calculation of NpNb2Os after structural relaxation, from the Alexandria database.

a b c (Å): 3.123 3.123 7.629
angles (deg): 90.00 90.00 90.00
Space group P4/mmm (No. 123)
One atom of each set of equivalent atoms:
Np 0.000 0.000 0.000 (multiplicity 1)
Nb 0.500 0.500 0.282 (multiplicity 2)
Os 0.000 0.000 0.500 (multiplicity 1)

Calculated values
Offset from the most stable computed form ... 0 meV/atom
Crystal system ... tetragonal
Volume ... 18.60 Å³ per atom
D(E_F) ... 1.412 states/eV per atom
Energy relative to the elements ... 0.1464 eV per atom
Density ... 13.7 g/cm3

***

10.
The following is a PBE calculation of Rb3Na5Sb2 after structural relaxation, from the Alexandria database.

a b c (Å): 14.750 16.593 6.694
angles (deg): 90.00 90.00 90.00
Space group Ibam (No. 72)
One atom of each set of equivalent atoms:
Rb 0.000 0.000 0.250 (multiplicity 4)
Rb 0.081 0.251 0.000 (multiplicity 8)
Na 0.000 0.500 0.250 (multiplicity 4)
Na 0.204 0.322 0.500 (multiplicity 8)
Na 0.246 0.500 0.250 (multiplicity 8)
Sb 0.171 0.141 0.500 (multiplicity 8)

Calculated values
Crystal system ... orthorhombic
Volume ... 40.96 Å³ per atom
Calculated total energy ... -79.7 eV for the cell shown
D(E_F) ... 0.321 states/eV per atom
Density ... 2.5 g/cm3

***

11.
The following is a PBE calculation of CePm12Ge6 after structural relaxation, from the Alexandria database.

a b c (Å): 13.6366 13.6366 11.0117
angles (deg): 90.00 90.00 120.00
Space group R-3m (No. 166, hexagonal axes)
One atom of each set of equivalent atoms:
Ce 0.0000 0.0000 0.0000 (multiplicity 3)
Pm 0.0000 0.3759 0.5000 (multiplicity 18)
Pm 0.0889 0.1779 0.3551 (multiplicity 18)
Ge 0.0337 0.5168 0.2698 (multiplicity 18)

Calculated values
Crystal system ... trigonal
Volume ... 31.11 Å³ per atom
D(E_F) ... 1.676 states/eV per atom
Energy relative to the elements ... -0.4078 eV per atom
Density ... 6.5 g/cm3

***

12.
The following is a PBE calculation of NbBiSe2N after structural relaxation, from the Alexandria database.

a b c (Å): 5.274 5.274 3.914
angles (deg): 90.00 90.00 90.00
Space group P4/mmm (No. 123)
One atom of each set of equivalent atoms:
Nb 0.000 0.000 0.000 (multiplicity 1)
Bi 0.500 0.500 0.500 (multiplicity 1)
Se 0.000 0.500 0.000 (multiplicity 2)
N 0.000 0.000 0.500 (multiplicity 1)

Calculated values
Offset from the most stable computed form ... 0 meV/atom
Crystal system ... tetragonal
Volume ... 21.77 Å³ per atom
D(E_F) ... 0.682 states/eV per atom
Density ... 7.2 g/cm3